(1)
The following is a PBE calculation of NaLi2GeS4 after structural relaxation, from Alexandria.

## Properties
V (A^3/atom): 21.0
Calculated total energy (eV/atom): -4.07
Mass density (kg/m3): 2345

The structure in CIF format:
```
data_NaLi2GeS4
_space_group_name_H-M_alt 'I -4 2 m'
_space_group_IT_number 121
_space_group_name_Hall 'I -4 2'
_cell_length_a 6.5444
_cell_length_b 6.5444
_cell_length_c 7.8619
_cell_angle_alpha 90.00
_cell_angle_beta 90.00
_cell_angle_gamma 90.00
loop_
_atom_site_label
_atom_site_fract_x
_atom_site_fract_y
_atom_site_fract_z
Na1 0.0000 0.0000 0.0000
Li1 0.0000 0.5000 0.2500
Ge1 0.0000 0.0000 0.5000
S1 0.1996 0.1996 0.6587
```

***

(2)
The following is a PBE calculation of LuS after structural relaxation, from Alexandria.

## Properties
V (A^3/atom): 19.5
Calculated total energy (eV/atom): -6.19
Mass density (kg/m3): 8808

The structure in CIF format:
```
data_LuS
_space_group_name_H-M_alt 'F m -3 m'
_space_group_IT_number 225
_space_group_name_Hall '-F 4 2 3'
_cell_length_a 5.3845
_cell_length_b 5.3845
_cell_length_c 5.3845
_cell_angle_alpha 90.00
_cell_angle_beta 90.00
_cell_angle_gamma 90.00
loop_
_atom_site_label
_atom_site_fract_x
_atom_site_fract_y
_atom_site_fract_z
Lu1 0.0000 0.0000 0.0000
S1 0.0000 0.0000 0.5000
```

***

(3)
The following is a PBE calculation of Be3W2 after structural relaxation, from Alexandria.

## Properties
ΔE to the lowest computed polymorph (eV per atom): 0.000
V (A^3/atom): 10.9
Calculated total energy (eV/atom): -7.63
ΔH_f (0 K) (eV/f.u.): -1.1
Mass density (kg/m3): 12031

The structure in CIF format:
```
data_Be3W2
_space_group_name_H-M_alt 'F d d 2'
_space_group_IT_number 43
_space_group_name_Hall 'F 2 -2d'
_cell_length_a 7.9825
_cell_length_b 11.7581
_cell_length_c 4.6435
_cell_angle_alpha 90.00
_cell_angle_beta 90.00
_cell_angle_gamma 90.00
loop_
_atom_site_label
_atom_site_fract_x
_atom_site_fract_y
_atom_site_fract_z
Be1 0.0000 0.0000 0.0000
Be2 0.0778 0.3781 0.1967
W1 0.0785 0.3029 0.7000
```

***

(4)
The following is a PBE calculation of LiAg2GeAu2 after structural relaxation, from Alexandria.

## Properties
V (A^3/atom): 17.7
Calculated total energy (eV/atom): -3.30
ΔH_f (0 K) (eV/f.u.): -1.0
Mass density (kg/m3): 10798

The structure in CIF format:
```
data_LiAg2GeAu2
_space_group_name_H-M_alt 'P m c 21'
_space_group_IT_number 26
_space_group_name_Hall 'P 2c -2'
_cell_length_a 4.5690
_cell_length_b 8.1370
_cell_length_c 5.7018
_cell_angle_alpha 90.00
_cell_angle_beta 90.00
_cell_angle_gamma 90.00
loop_
_atom_site_label
_atom_site_fract_x
_atom_site_fract_y
_atom_site_fract_z
Li1 0.0000 0.0074 0.0000
Ag1 0.0000 0.3549 0.7922
Ag2 0.5000 0.4893 0.5244
Ge1 0.5000 0.1618 0.2253
Au1 0.0000 0.2960 0.2933
Au2 0.5000 0.1558 0.7471
```

***

(5)
The following is a PBE calculation of Tm3Hg after structural relaxation, from Alexandria.

## Properties
V (A^3/atom): 26.8
Calculated total energy (eV/atom): -3.46
ΔH_f (0 K) (eV/f.u.): -0.1
Mass density (kg/m3): 10953

The structure in CIF format:
```
data_Tm3Hg
_space_group_name_H-M_alt 'F m -3 m'
_space_group_IT_number 225
_space_group_name_Hall '-F 4 2 3'
_cell_length_a 7.5418
_cell_length_b 7.5418
_cell_length_c 7.5418
_cell_angle_alpha 90.00
_cell_angle_beta 90.00
_cell_angle_gamma 90.00
loop_
_atom_site_label
_atom_site_fract_x
_atom_site_fract_y
_atom_site_fract_z
Tm1 0.0000 0.0000 0.0000
Tm2 0.2500 0.2500 0.2500
Hg1 0.0000 0.0000 0.5000
```

***

(6)
The following is a PBE calculation of Cu3RhF8 after structural relaxation, from Alexandria.

## Properties
V (A^3/atom): 13.7
Calculated total energy (eV/atom): -4.29
Mass density (kg/m3): 4500

The structure in CIF format:
```
data_Cu3RhF8
_space_group_name_H-M_alt 'C 2 2 2'
_space_group_IT_number 21
_space_group_name_Hall 'C 2 2'
_cell_length_a 5.4557
_cell_length_b 9.5647
_cell_length_c 6.3017
_cell_angle_alpha 90.00
_cell_angle_beta 90.00
_cell_angle_gamma 90.00
loop_
_atom_site_label
_atom_site_fract_x
_atom_site_fract_y
_atom_site_fract_z
Cu1 0.0000 0.0000 0.0000
Cu2 0.2500 0.2500 0.7596
Rh1 0.0000 0.0000 0.5000
F1 0.0000 0.2030 0.0000
F2 0.0000 0.2106 0.5000
F3 0.2451 0.0148 0.7349
```

***

(7)
The following is a PBE calculation of CrCuRe2 after structural relaxation, from Alexandria.

## Properties
ΔE to the lowest computed polymorph (eV per atom): 0.101
V (A^3/atom): 13.9
Calculated total energy (eV/atom): -9.33
ΔH_f (0 K) (eV/f.u.): 1.3
Mass density (kg/m3): 14611

The structure in CIF format:
```
data_CrCuRe2
_space_group_name_H-M_alt 'C m m 2'
_space_group_IT_number 35
_space_group_name_Hall 'C 2 -2'
_cell_length_a 3.0320
_cell_length_b 4.3023
_cell_length_c 8.5026
_cell_angle_alpha 90.00
_cell_angle_beta 90.00
_cell_angle_gamma 90.00
loop_
_atom_site_label
_atom_site_fract_x
_atom_site_fract_y
_atom_site_fract_z
Cr1 0.0000 0.0000 0.0000
Cu1 0.0000 0.5000 0.7590
Re1 0.0000 0.0000 0.5015
Re2 0.0000 0.5000 0.2356
```

***

(8)
The following is a PBE calculation of PuScGaPt after structural relaxation, from Alexandria.

## Properties
V (A^3/atom): 20.6
Calculated total energy (eV/atom): -8.05
ΔH_f (0 K) (eV/f.u.): -2.5
Mass density (kg/m3): 11149

The structure in CIF format:
```
data_PuScGaPt
_space_group_name_H-M_alt 'F -4 3 m'
_space_group_IT_number 216
_space_group_name_Hall 'F -4 2 3'
_cell_length_a 6.9097
_cell_length_b 6.9097
_cell_length_c 6.9097
_cell_angle_alpha 90.00
_cell_angle_beta 90.00
_cell_angle_gamma 90.00
loop_
_atom_site_label
_atom_site_fract_x
_atom_site_fract_y
_atom_site_fract_z
Pu1 0.0000 0.0000 0.0000
Sc1 0.0000 0.0000 0.5000
Ga1 0.2500 0.2500 0.7500
Pt1 0.2500 0.2500 0.2500
```

***

(9)
The following is a PBE calculation of Gd2ErPa after structural relaxation, from Alexandria.

## Properties
ΔE to the lowest computed polymorph (eV per atom): 0.000
V (A^3/atom): 29.5
Calculated total energy (eV/atom): -10.42
ΔH_f (0 K) (eV/f.u.): 0.5
Mass density (kg/m3): 10035

The structure in CIF format:
```
data_Gd2ErPa
_space_group_name_H-M_alt 'P 4/m m m'
_space_group_IT_number 123
_space_group_name_Hall '-P 4 2'
_cell_length_a 3.4098
_cell_length_b 3.4098
_cell_length_c 10.1447
_cell_angle_alpha 90.00
_cell_angle_beta 90.00
_cell_angle_gamma 90.00
loop_
_atom_site_label
_atom_site_fract_x
_atom_site_fract_y
_atom_site_fract_z
Gd1 0.0000 0.0000 0.2332
Er1 0.5000 0.5000 0.5000
Pa1 0.5000 0.5000 0.0000
```

***

(10)
The following is a PBE calculation of HoTmN2 after structural relaxation, from Alexandria.

## Properties
V (A^3/atom): 14.3
Calculated total energy (eV/atom): -7.97
Mass density (kg/m3): 10485

The structure in CIF format:
```
data_HoTmN2
_space_group_name_H-M_alt 'R 3 m'
_space_group_IT_number 160
_space_group_name_Hall 'R 3 -2"'
_cell_length_a 3.3684
_cell_length_b 3.3684
_cell_length_c 17.4971
_cell_angle_alpha 90.00
_cell_angle_beta 90.00
_cell_angle_gamma 120.00
loop_
_atom_site_label
_atom_site_fract_x
_atom_site_fract_y
_atom_site_fract_z
Ho1 0.0000 0.0000 0.0000
Tm1 0.0000 0.0000 0.8293
N1 0.0000 0.0000 0.2445
N2 0.0000 0.0000 0.4159
```

***

(11)
The following is a PBE calculation of NaTa2Fe after structural relaxation, from Alexandria.

## Properties
ΔE to the lowest computed polymorph (eV per atom): 0.405
V (A^3/atom): 18.8
Calculated total energy (eV/atom): -7.17
ΔH_f (0 K) (eV/f.u.): 4.8
Mass density (kg/m3): 9739

The structure in CIF format:
```
data_NaTa2Fe
_space_group_name_H-M_alt 'I -4 2 d'
_space_group_IT_number 122
_space_group_name_Hall 'I -4 2bw'
_cell_length_a 3.9014
_cell_length_b 3.9014
_cell_length_c 19.7491
_cell_angle_alpha 90.00
_cell_angle_beta 90.00
_cell_angle_gamma 90.00
loop_
_atom_site_label
_atom_site_fract_x
_atom_site_fract_y
_atom_site_fract_z
Na1 0.0000 0.0000 0.0000
Ta1 0.2331 0.7500 0.6250
Fe1 0.0000 0.0000 0.5000
```

***

(12)
The following is a PBE calculation of La3Te3Se after structural relaxation, from Alexandria.

## Properties
V (A^3/atom): 35.8
Calculated total energy (eV/atom): -5.47
Mass density (kg/m3): 5814

The structure in CIF format:
```
data_La3Te3Se
_space_group_name_H-M_alt 'C 1 2/m 1'
_space_group_IT_number 12
_space_group_name_Hall '-C 2y'
_cell_length_a 9.1955
_cell_length_b 13.2141
_cell_length_c 8.2611
_cell_angle_alpha 90.00
_cell_angle_beta 90.97
_cell_angle_gamma 90.00
loop_
_atom_site_label
_atom_site_fract_x
_atom_site_fract_y
_atom_site_fract_z
La1 0.0610 0.0000 0.2926
La2 0.1513 0.3464 0.1989
Te1 0.0000 0.1615 0.0000
Te2 0.0000 0.2237 0.5000
Te3 0.1329 0.5000 0.8648
Se1 0.2495 0.0000 0.5840
```

***

(13)
The following is a PBE calculation of CeTmCd2 after structural relaxation, from Alexandria.

## Properties
ΔE to the lowest computed polymorph (eV per atom): 0.012
V (A^3/atom): 26.8
Calculated total energy (eV/atom): -3.26
ΔH_f (0 K) (eV/f.u.): -0.8
Mass density (kg/m3): 8277

The structure in CIF format:
```
data_CeTmCd2
_space_group_name_H-M_alt 'F m -3 m'
_space_group_IT_number 225
_space_group_name_Hall '-F 4 2 3'
_cell_length_a 7.5385
_cell_length_b 7.5385
_cell_length_c 7.5385
_cell_angle_alpha 90.00
_cell_angle_beta 90.00
_cell_angle_gamma 90.00
loop_
_atom_site_label
_atom_site_fract_x
_atom_site_fract_y
_atom_site_fract_z
Ce1 0.0000 0.0000 0.0000
Tm1 0.0000 0.0000 0.5000
Cd1 0.2500 0.2500 0.2500
```

***

(14)
The following is a PBE calculation of Nd5HoTm4 after structural relaxation, from Alexandria.

## Properties
ΔE to the lowest computed polymorph (eV per atom): 0.275
V (A^3/atom): 33.3
Calculated total energy (eV/atom): -4.33
ΔH_f (0 K) (eV/f.u.): 3.0
Mass density (kg/m3): 7799

The structure in CIF format:
```
data_Nd5HoTm4
_space_group_name_H-M_alt 'I 4'
_space_group_IT_number 79
_space_group_name_Hall 'I 4'
_cell_length_a 10.2614
_cell_length_b 10.2614
_cell_length_c 6.3167
_cell_angle_alpha 90.00
_cell_angle_beta 90.00
_cell_angle_gamma 90.00
loop_
_atom_site_label
_atom_site_fract_x
_atom_site_fract_y
_atom_site_fract_z
Nd1 0.0000 0.0000 0.0000
Nd2 0.1471 0.7664 0.2689
Ho1 0.0000 0.0000 0.5403
Tm1 0.0473 0.6535 0.7648
```

***

(15)
The following is a PBE calculation of BaBe3Zn after structural relaxation, from Alexandria.

## Properties
ΔE to the lowest computed polymorph (eV per atom): 0.000
V (A^3/atom): 18.3
Calculated total energy (eV/atom): -2.31
ΔH_f (0 K) (eV/f.u.): 2.8
Mass density (kg/m3): 4162

The structure in CIF format:
```
data_BaBe3Zn
_space_group_name_H-M_alt 'P m -3 m'
_space_group_IT_number 221
_space_group_name_Hall '-P 4 2 3'
_cell_length_a 4.5091
_cell_length_b 4.5091
_cell_length_c 4.5091
_cell_angle_alpha 90.00
_cell_angle_beta 90.00
_cell_angle_gamma 90.00
loop_
_atom_site_label
_atom_site_fract_x
_atom_site_fract_y
_atom_site_fract_z
Ba1 0.0000 0.0000 0.0000
Be1 0.0000 0.5000 0.5000
Zn1 0.5000 0.5000 0.5000
```

***

(16)
The following is a PBE calculation of Mn2TlCo after structural relaxation, from Alexandria.

## Properties
ΔE to the lowest computed polymorph (eV per atom): 0.204
V (A^3/atom): 16.5
Calculated total energy (eV/atom): -6.45
ΔH_f (0 K) (eV/f.u.): 2.0
Mass density (kg/m3): 9416

The structure in CIF format:
```
data_Mn2TlCo
_space_group_name_H-M_alt 'R -3 m'
_space_group_IT_number 166
_space_group_name_Hall '-R 3 2"'
_cell_length_a 3.0026
_cell_length_b 3.0026
_cell_length_c 25.2879
_cell_angle_alpha 90.00
_cell_angle_beta 90.00
_cell_angle_gamma 120.00
loop_
_atom_site_label
_atom_site_fract_x
_atom_site_fract_y
_atom_site_fract_z
Mn1 0.0000 0.0000 0.2378
Tl1 0.0000 0.0000 0.0000
Co1 0.0000 0.0000 0.5000
```

***

(17)
The following is a PBE calculation of Li2Pm2In5Ag after structural relaxation, from Alexandria.

## Properties
V (A^3/atom): 22.7
Calculated total energy (eV/atom): -3.31
ΔH_f (0 K) (eV/f.u.): -3.2
Mass density (kg/m3): 7216

The structure in CIF format:
```
data_Li2Pm2In5Ag
_space_group_name_H-M_alt 'P 4/m b m'
_space_group_IT_number 127
_space_group_name_Hall '-P 4 2ab'
_cell_length_a 10.1570
_cell_length_b 10.1570
_cell_length_c 4.3981
_cell_angle_alpha 90.00
_cell_angle_beta 90.00
_cell_angle_gamma 90.00
loop_
_atom_site_label
_atom_site_fract_x
_atom_site_fract_y
_atom_site_fract_z
Li1 0.1120 0.3880 0.0000
Pm1 0.1819 0.6819 0.0000
In1 0.0000 0.5000 0.5000
In2 0.0617 0.2037 0.5000
Ag1 0.0000 0.0000 0.0000
```

***

(18)
The following is a PBE calculation of Zn2AgTe after structural relaxation, from Alexandria.

## Properties
ΔE to the lowest computed polymorph (eV per atom): 0.149
V (A^3/atom): 20.9
Calculated total energy (eV/atom): -1.99
Mass density (kg/m3): 7277

The structure in CIF format:
```
data_Zn2AgTe
_space_group_name_H-M_alt 'P m m m'
_space_group_IT_number 47
_space_group_name_Hall '-P 2 2'
_cell_length_a 3.8897
_cell_length_b 4.0130
_cell_length_c 5.3547
_cell_angle_alpha 90.00
_cell_angle_beta 90.00
_cell_angle_gamma 90.00
loop_
_atom_site_label
_atom_site_fract_x
_atom_site_fract_y
_atom_site_fract_z
Zn1 0.0000 0.0000 0.0000
Zn2 0.0000 0.5000 0.5000
Ag1 0.5000 0.0000 0.5000
Te1 0.5000 0.5000 0.0000
```

***

(19)
The following is a PBE calculation of MgSO after structural relaxation, from Alexandria.

## Properties
V (A^3/atom): 21.4
Calculated total energy (eV/atom): -4.93
Mass density (kg/m3): 1873

The structure in CIF format:
```
data_MgSO
_space_group_name_H-M_alt 'C 1 2/m 1'
_space_group_IT_number 12
_space_group_name_Hall '-C 2y'
_cell_length_a 16.4820
_cell_length_b 2.8939
_cell_length_c 5.6745
_cell_angle_alpha 90.00
_cell_angle_beta 108.48
_cell_angle_gamma 90.00
loop_
_atom_site_label
_atom_site_fract_x
_atom_site_fract_y
_atom_site_fract_z
Mg1 0.0000 0.0000 0.0000
Mg2 0.0000 0.0000 0.5000
S1 0.2017 0.5000 0.4495
O1 0.0035 0.5000 0.2531
```

***

(20)
The following is a PBE calculation of BeReAs2 after structural relaxation, from Alexandria.

## Properties
V (A^3/atom): 14.8
Calculated total energy (eV/atom): -5.72
ΔH_f (0 K) (eV/f.u.): 2.6
Mass density (kg/m3): 9658

The structure in CIF format:
```
data_BeReAs2
_space_group_name_H-M_alt 'P m m m'
_space_group_IT_number 47
_space_group_name_Hall '-P 2 2'
_cell_length_a 3.2399
_cell_length_b 4.0116
_cell_length_c 4.5647
_cell_angle_alpha 90.00
_cell_angle_beta 90.00
_cell_angle_gamma 90.00
loop_
_atom_site_label
_atom_site_fract_x
_atom_site_fract_y
_atom_site_fract_z
Be1 0.0000 0.0000 0.0000
Re1 0.5000 0.0000 0.5000
As1 0.0000 0.5000 0.5000
As2 0.5000 0.5000 0.0000
```